No. 1
{
  "formula": "Nb2IrBr",
  "functional": "PBE-GGA",
  "state": "relaxed",
  "lattice": [[-2.996, 2.996, 5.569], [2.996, -2.996, 5.569], [2.996, 2.996, -5.569]],
  "species": ["Nb", "Nb", "Nb", "Nb", "Ir", "Ir", "Br", "Br"],
  "fractional_positions": [[0.105, 0.625, 0.980], [0.375, 0.355, 0.480], [0.645, 0.125, 0.020], [0.875, 0.895, 0.520], [0.000, 0.000, 0.000], [0.750, 0.250, 0.500], [0.250, 0.750, 0.500], [0.500, 0.500, 0.000]],
  "dft_energy_ev_per_fu": -28.3,
  "relative_energy_ev_per_atom": 0.340,
  "e_form_raw_ev_per_atom": 0.583,
  "magnetic_moment_mub_per_fu": 0.000
}

***

No. 2
{
  "formula": "PtPb2",
  "functional": "PBE-GGA",
  "state": "relaxed",
  "lattice": [[-1.723, 1.723, 6.465], [1.723, -1.723, 6.465], [1.723, 1.723, -6.465]],
  "species": ["Pt", "Pb", "Pb"],
  "fractional_positions": [[0.000, 0.000, 0.000], [0.367, 0.367, 0.000], [0.633, 0.633, 0.000]],
  "formation_energy_ev_per_atom": -0.117,
  "dft_energy_ev_per_fu": -13.8,
  "magnetic_moment_mub_per_fu": 0.000
}

***

No. 3
{
  "formula": "Y2MnSe",
  "functional": "PBE-GGA",
  "state": "relaxed",
  "lattice": [[2.035, 1.175, 6.742], [-2.035, 1.175, 6.742], [0.000, -2.350, 6.742]],
  "species": ["Y", "Y", "Mn", "Se"],
  "fractional_positions": [[0.000, 0.000, 0.000], [0.188, 0.188, 0.188], [0.423, 0.423, 0.423], [0.765, 0.765, 0.765]],
  "dft_energy_ev_per_fu": -27.1,
  "e_form_raw_ev_per_atom": -0.381,
  "magnetic_moment_mub_per_fu": 1.749
}